1.
{
  "formula": "InSn2Te4",
  "functional": "PBE-GGA",
  "state": "relaxed",
  "total_energy_ev_per_cell": -49.68,
  "polymorph_energy_mev_per_atom": 0,
  "e_form_raw_ev_per_atom": -0.22,
  "lattice": [[8.409, -0.650, -2.231], [-4.545, 7.105, -2.231], [0.045, 0.076, 8.721]],
  "species": ["Te", "Te", "Te", "Te", "Te", "Te", "Te", "Te", "Sn", "Sn", "Sn", "Sn", "In", "In"],
  "fractional_positions": [[0.484, 0.769, 0.792], [0.941, 0.727, 0.708], [0.444, 0.235, 0.715], [0.979, 0.271, 0.785], [0.019, 0.234, 0.292], [0.977, 0.691, 0.208], [0.485, 0.194, 0.215], [0.521, 0.729, 0.285], [0.231, 0.743, 0.011], [0.993, 0.981, 0.511], [0.470, 0.482, 0.489], [0.732, 0.220, 0.989], [0.606, 0.606, 0.000], [0.856, 0.356, 0.500]]
}

2.
{
  "formula": "InSn3Te4",
  "functional": "PBE-GGA",
  "state": "relaxed",
  "total_energy_ev_per_cell": -29.53,
  "polymorph_energy_mev_per_atom": 0,
  "e_form_raw_ev_per_atom": -0.28,
  "lattice": [[-2.336, 3.182, -2.134], [-2.985, 0.055, 3.350], [6.885, 9.071, 5.986]],
  "species": ["In", "Sn", "Sn", "Sn", "Te", "Te", "Te", "Te"],
  "fractional_positions": [[0.000, 0.000, 0.000], [0.000, 0.000, 0.500], [0.500, 0.500, 0.750], [0.500, 0.500, 0.250], [0.500, 0.500, 0.000], [0.500, 0.500, 0.500], [0.000, 0.000, 0.251], [0.000, 0.000, 0.749]]
}

3.
{
  "formula": "In2SnTe",
  "functional": "PBE-GGA",
  "state": "relaxed",
  "total_energy_ev_per_cell": -12.81,
  "polymorph_energy_mev_per_atom": 91,
  "e_form_raw_ev_per_atom": -0.05,
  "lattice": [[-3.882, -0.505, 1.245], [-2.064, -3.398, -1.034], [0.704, -5.021, 6.937]],
  "species": ["In", "In", "Te", "Sn"],
  "fractional_positions": [[0.248, 0.248, 0.255], [0.085, 0.085, 0.744], [0.498, 0.498, 0.505], [0.668, 0.668, 0.995]]
}

4.
{
  "formula": "In3Sn5Te12",
  "functional": "PBE-GGA",
  "state": "relaxed",
  "total_energy_ev_per_cell": -266.76,
  "e_form_raw_ev_per_atom": -0.04,
  "lattice": [[15.656, 0.000, 0.000], [-5.219, 14.761, 0.000], [-5.219, -7.381, 12.783]],
  "species": ["Te", "Te", "Te", "Te", "Te", "Te", "Te", "Te", "Te", "Te", "Te", "Te", "Te", "Te", "Te", "Te", "Te", "Te", "Te", "Te", "Te", "Te", "Te", "Te", "Te", "Te", "Te", "Te", "Te", "Te", "Te", "Te", "Te", "Te", "Te", "Te", "Te", "Te", "Te", "Te", "Te", "Te", "Te", "Te", "Te", "Te", "Te", "Te", "Sn", "Sn", "Sn", "Sn", "Sn", "Sn", "Sn", "Sn", "Sn", "Sn", "Sn", "Sn", "Sn", "Sn", "Sn", "Sn", "Sn", "Sn", "Sn", "Sn", "In", "In", "In", "In", "In", "In", "In", "In", "In", "In", "In", "In"],
  "fractional_positions": [[0.544, 0.325, 0.916], [0.091, 0.916, 0.372], [0.372, 0.956, 0.780], [0.409, 0.128, 0.584], [0.544, 0.220, 0.128], [0.280, 0.409, 0.825], [0.916, 0.091, 0.872], [0.456, 0.675, 0.084], [0.628, 0.584, 0.909], [0.175, 0.084, 0.956], [0.628, 0.044, 0.220], [0.175, 0.091, 0.720], [0.591, 0.720, 0.675], [0.044, 0.628, 0.720], [0.128, 0.409, 0.084], [0.872, 0.591, 0.916], [0.720, 0.591, 0.175], [0.280, 0.872, 0.956], [0.916, 0.825, 0.544], [0.456, 0.780, 0.872], [0.584, 0.628, 0.409], [0.720, 0.128, 0.044], [0.128, 0.720, 0.544], [0.909, 0.084, 0.628], [0.325, 0.544, 0.416], [0.084, 0.175, 0.456], [0.872, 0.280, 0.456], [0.956, 0.584, 0.175], [0.220, 0.544, 0.628], [0.372, 0.416, 0.091], [0.825, 0.916, 0.044], [0.409, 0.280, 0.325], [0.956, 0.372, 0.280], [0.675, 0.456, 0.584], [0.825, 0.909, 0.280], [0.416, 0.372, 0.591], [0.220, 0.675, 0.091], [0.044, 0.416, 0.825], [0.084, 0.909, 0.128], [0.091, 0.175, 0.220], [0.780, 0.325, 0.909], [0.675, 0.220, 0.591], [0.909, 0.825, 0.780], [0.416, 0.044, 0.325], [0.584, 0.956, 0.675], [0.325, 0.780, 0.409], [0.780, 0.456, 0.372], [0.591, 0.872, 0.416], [0.000, 0.500, 0.000], [0.625, 0.875, 0.250], [0.375, 0.250, 0.125], [0.625, 0.750, 0.875], [0.875, 0.625, 0.750], [0.750, 0.625, 0.375], [0.500, 0.000, 0.000], [0.500, 0.500, 0.000], [0.875, 0.250, 0.625], [0.125, 0.375, 0.250], [0.500, 0.500, 0.500], [0.500, 0.000, 0.500], [0.750, 0.125, 0.875], [0.000, 0.000, 0.500], [0.125, 0.750, 0.375], [0.000, 0.500, 0.500], [0.000, 0.000, 0.000], [0.250, 0.375, 0.625], [0.375, 0.125, 0.750], [0.250, 0.875, 0.125], [0.375, 0.750, 0.625], [0.750, 0.875, 0.625], [0.875, 0.125, 0.250], [0.875, 0.750, 0.125], [0.125, 0.250, 0.875], [0.625, 0.375, 0.750], [0.250, 0.625, 0.875], [0.375, 0.625, 0.250], [0.750, 0.375, 0.125], [0.625, 0.250, 0.375], [0.125, 0.875, 0.750], [0.250, 0.125, 0.375]]
}

5.
{
  "formula": "In2SnTe",
  "functional": "PBE-GGA",
  "state": "relaxed",
  "total_energy_ev_per_cell": -12.15,
  "polymorph_energy_mev_per_atom": 257,
  "e_form_raw_ev_per_atom": 0.12,
  "lattice": [[3.518, 0.000, 0.000], [1.759, 3.047, 0.000], [1.759, 1.016, 11.178]],
  "species": ["In", "In", "Sn", "Te"],
  "fractional_positions": [[0.092, 0.092, 0.723], [0.908, 0.908, 0.277], [0.000, 0.000, 0.000], [0.500, 0.500, 0.500]]
}

6.
{
  "formula": "InSnTe3",
  "functional": "PBE-GGA",
  "state": "relaxed",
  "total_energy_ev_per_cell": -15.09,
  "polymorph_energy_mev_per_atom": 401,
  "e_form_raw_ev_per_atom": 0.21,
  "lattice": [[5.757, 0.000, 0.000], [0.000, 5.757, 0.000], [0.000, 0.000, 5.757]],
  "species": ["In", "Te", "Te", "Te", "Sn"],
  "fractional_positions": [[0.500, 0.500, 0.500], [0.000, 0.000, 0.500], [0.500, 0.000, 0.000], [0.000, 0.500, 0.000], [0.000, 0.000, 0.000]]
}

7.
{
  "formula": "InSn2Te3",
  "functional": "PBE-GGA",
  "state": "relaxed",
  "total_energy_ev_per_cell": -21.84,
  "e_form_raw_ev_per_atom": -0.28,
  "lattice": [[-3.568, 2.356, -1.495], [-3.865, -4.526, 2.090], [3.280, 4.221, 5.684]],
  "species": ["Sn", "Sn", "In", "Te", "Te", "Te"],
  "fractional_positions": [[0.832, 0.832, 0.164], [0.168, 0.168, 0.836], [0.500, 0.500, 0.500], [0.167, 0.667, 0.833], [0.500, 0.000, 0.500], [0.833, 0.333, 0.167]]
}

8.
{
  "formula": "In5SnTe4",
  "functional": "PBE-GGA",
  "state": "relaxed",
  "total_energy_ev_per_cell": -63.36,
  "e_form_raw_ev_per_atom": -0.14,
  "lattice": [[-4.450, -1.043, -5.559], [-5.250, -4.641, 5.072], [-6.145, 10.231, 3.000]],
  "species": ["In", "In", "In", "In", "In", "In", "In", "In", "In", "In", "Te", "Te", "Te", "Te", "Te", "Te", "Te", "Te", "Sn", "Sn"],
  "fractional_positions": [[0.298, 0.814, 0.245], [0.298, 0.186, 0.245], [0.702, 0.686, 0.745], [0.702, 0.686, 0.255], [0.702, 0.314, 0.745], [0.016, 0.000, 0.500], [0.702, 0.314, 0.255], [0.298, 0.186, 0.755], [0.298, 0.814, 0.755], [0.984, 0.500, 0.000], [0.694, 0.749, 0.000], [0.087, 0.500, 0.763], [0.306, 0.249, 0.500], [0.306, 0.751, 0.500], [0.087, 0.500, 0.237], [0.694, 0.251, 0.000], [0.913, 0.000, 0.263], [0.913, 0.000, 0.737], [0.970, 0.000, 0.000], [0.030, 0.500, 0.500]]
}